1.
The following is a DFT calculation (GGA-PBEsol) of a geometry-optimized Li3P structure.

Structure (extended XYZ):
```
4
Lattice="2.7166 0.0000 -0.0197 0.0000 4.0657 0.0000 -1.1792 0.0000 5.1340" Properties=species:S:1:pos:R:3 pbc="T T T"
Li 0.4138 0.0000 1.1025
Li 1.1236 0.0000 4.0118
Li -0.5896 2.0328 2.5670
P 1.3583 2.0328 -0.0098
```

- Magnetization: 0.0 μB per formula unit
- Calculated total energy: -3.28 eV/atom
- ΔE_f: -0.362 eV/atom

2.
The following is a DFT calculation (GGA-PBEsol) of a geometry-optimized CoTc2Os structure.

Structure (extended XYZ):
```
4
Lattice="2.6123 0.0013 0.0000 -1.1168 2.3615 0.0000 0.0000 0.0000 8.7224" Properties=species:S:1:pos:R:3 pbc="T T T"
Tc 0.0000 0.0000 8.7027
Tc 0.7477 1.1814 6.4778
Os 0.7477 1.1814 2.2492
Co 0.0000 0.0000 4.3763
```

- Magnetization: 1.8 μB per formula unit
- Calculated total energy: -10.21 eV/atom
- ΔE_f: 0.411 eV/atom

3.
The following is a DFT calculation (GGA-PBEsol) of a geometry-optimized Tl5Hg structure.

Structure (extended XYZ):
```
6
Lattice="-0.5710 -1.9920 2.9239 3.1937 -3.7361 -4.1179 5.3274 4.2001 3.9017" Properties=species:S:1:pos:R:3 pbc="T T T"
Tl 5.8093 0.9983 4.0108
Tl 3.3734 2.0558 2.0593
Tl 3.5430 -2.6228 -1.0949
Tl 2.6456 -1.2448 1.8648
Tl 5.7683 -0.3263 0.9042
Hg 0.1696 0.0063 0.0374
```

- Magnetization: 0.0 μB per formula unit
- Calculated total energy: -2.28 eV/atom
- ΔE_f: 0.002 eV/atom

4.
The following is a DFT calculation (GGA-PBEsol) of a geometry-optimized LaS2NCl structure.

Structure (extended XYZ):
```
5
Lattice="5.5334 0.0000 0.0000 0.0000 5.6168 0.0000 0.0000 0.0000 5.6168" Properties=species:S:1:pos:R:3 pbc="T T T"
La 0.0000 0.0000 0.0000
N 2.7667 2.8084 2.8084
S 0.0000 0.0000 2.8084
S 0.0000 2.8084 0.0000
Cl 2.7667 0.0000 0.0000
```

- Magnetization: 5.0 μB per formula unit
- Calculated total energy: -4.51 eV/atom
- Formation energy from raw total energies: 420 meV per atom

5.
The following is a DFT calculation (GGA-PBEsol) of a geometry-optimized Nb2AlCo2 structure.

Structure (extended XYZ):
```
10
Lattice="3.0759 0.0000 0.0000 0.0000 6.7842 0.0000 0.0000 0.0000 6.7842" Properties=species:S:1:pos:R:3 pbc="T T T"
Co 0.0000 0.8640 2.5281
Co 0.0000 5.9202 4.2561
Co 0.0000 4.2561 0.8640
Co 0.0000 2.5281 5.9202
Nb 1.5379 4.5755 5.6007
Nb 1.5379 5.6007 2.2086
Nb 1.5379 2.2086 1.1834
Nb 1.5379 1.1834 4.5755
Al 0.0000 0.0000 0.0000
Al 0.0000 3.3921 3.3921
```

- Magnetization: 0.0 μB per formula unit
- Calculated total energy: -8.52 eV/atom
- ΔE_f: -0.278 eV/atom

6.
The following is a DFT calculation (GGA-PBEsol) of a geometry-optimized AlBiH2 structure.

Structure (extended XYZ):
```
8
Lattice="5.4112 0.0000 0.0000 -2.7056 4.7473 0.0017 0.0000 -3.0855 4.4452" Properties=species:S:1:pos:R:3 pbc="T T T"
Al 2.7056 1.6023 1.1122
Al 2.7056 -1.5428 2.2226
H 2.2486 0.0298 1.6674
H 1.3528 2.6640 1.2928
H -1.3528 2.1428 2.0437
H 3.1626 -1.5130 3.8900
Bi 0.0000 0.0595 3.3348
Bi 0.0000 0.0000 0.0000
```

- Magnetization: 0.0 μB per formula unit
- Calculated total energy: -3.46 eV/atom